(1)
# LiVSe3 PBE optimized geometry
data_LiVSe3
_chemical_formula_sum 'Li4 V4 Se12'
_cell_length_a 6.058
_cell_length_b 12.014
_cell_length_c 5.814
_cell_angle_alpha 90.00
_cell_angle_beta 90.00
_cell_angle_gamma 90.00
_space_group_name_H-M_alt 'P 1'
_space_group_IT_number 1
_space_group_name_Hall 'P 1'
loop_
_atom_site_label
_atom_site_type_symbol
_atom_site_fract_x
_atom_site_fract_y
_atom_site_fract_z
Li1 Li 0.000 0.000 0.000
Li2 Li 0.000 0.500 0.000
Li3 Li 0.500 0.000 0.500
Li4 Li 0.500 0.500 0.500
V1 V 0.160 0.250 0.425
V2 V 0.340 0.750 0.925
V3 V 0.660 0.250 0.075
V4 V 0.840 0.750 0.575
Se1 Se 0.060 0.750 0.199
Se2 Se 0.168 0.613 0.674
Se3 Se 0.168 0.887 0.674
Se4 Se 0.332 0.113 0.174
Se5 Se 0.332 0.387 0.174
Se6 Se 0.440 0.250 0.699
Se7 Se 0.560 0.750 0.301
Se8 Se 0.668 0.613 0.826
Se9 Se 0.668 0.887 0.826
Se10 Se 0.832 0.113 0.326
Se11 Se 0.832 0.387 0.326
Se12 Se 0.940 0.250 0.801
# Space group = Pnma, No. 62
# DOS(E_F) = 3.913 states/eV per cell
# Energy = -4.880 eV per atom
# Formation energy from raw total energies = -0.583 eV per atom

***

(2)
# ZrBeCu PBE optimized geometry
data_ZrBeCu
_chemical_formula_sum 'Zr1 Be1 Cu1'
_cell_length_a 3.991
_cell_length_b 3.991
_cell_length_c 3.230
_cell_angle_alpha 90.00
_cell_angle_beta 90.00
_cell_angle_gamma 120.00
_space_group_name_H-M_alt 'P 1'
_space_group_IT_number 1
_space_group_name_Hall 'P 1'
loop_
_atom_site_label
_atom_site_type_symbol
_atom_site_fract_x
_atom_site_fract_y
_atom_site_fract_z
Zr1 Zr 0.000 0.000 0.000
Be1 Be 0.667 0.333 0.500
Cu1 Cu 0.333 0.667 0.500
# Space group = P-6m2, No. 187
# DOS(E_F) = 3.781 states/eV per cell
# Energy = -5.567 eV per atom
# DFT formation energy = -0.111 eV per atom